Entry 1:
This record from Alexandria via LeMat-Bulk describes a geometry-optimized In4GaHg5 structure. The functional is GGA-PBE.

```
data_In4GaHg5
_cell_length_a 4.568
_cell_length_b 4.902
_cell_length_c 13.768
_cell_angle_alpha 78.47
_cell_angle_beta 82.69
_cell_angle_gamma 61.22
_symmetry_space_group_name_H-M 'P 1'
_symmetry_Int_Tables_number 1
loop_
_symmetry_equiv_pos_as_xyz
'x,y,z'
loop_
_atom_site_label
_atom_site_type_symbol
_atom_site_fract_x
_atom_site_fract_y
_atom_site_fract_z
_atom_site_occupancy
Hg1 Hg 0.597 0.598 0.205 1
Hg2 Hg 0.000 0.000 0.000 1
Hg3 Hg 0.403 0.402 0.795 1
Hg4 Hg 0.193 0.200 0.413 1
Hg5 Hg 0.807 0.800 0.587 1
Ga1 Ga 0.500 0.500 0.500 1
In1 In 0.897 0.899 0.308 1
In2 In 0.702 0.702 0.898 1
In3 In 0.298 0.298 0.102 1
In4 In 0.103 0.101 0.692 1
```

Values from the calculation:
* ΔH_f (0 K): 0.02 eV per atom
* excess energy over the best structure of this formula in the dataset: 0.0 meV/atom
* SG: P-1, No. 2

***

Entry 2:
This record from Alexandria via LeMat-Bulk describes a geometry-optimized Ba5Se4I structure. The functional is GGA-PBE.

```
data_Ba5Se4I
_cell_length_a 4.743
_cell_length_b 8.273
_cell_length_c 10.655
_cell_angle_alpha 75.45
_cell_angle_beta 77.14
_cell_angle_gamma 73.34
_symmetry_space_group_name_H-M 'P 1'
_symmetry_Int_Tables_number 1
loop_
_symmetry_equiv_pos_as_xyz
'x,y,z'
loop_
_atom_site_label
_atom_site_type_symbol
_atom_site_fract_x
_atom_site_fract_y
_atom_site_fract_z
_atom_site_occupancy
Ba1 Ba 0.792 0.099 0.317 1
Ba2 Ba 0.208 0.901 0.683 1
Ba3 Ba 0.611 0.665 0.113 1
Ba4 Ba 0.389 0.335 0.887 1
Ba5 Ba 0.000 0.500 0.500 1
Se1 Se 0.596 0.203 0.605 1
Se2 Se 0.794 0.613 0.799 1
Se3 Se 0.404 0.797 0.395 1
Se4 Se 0.206 0.387 0.201 1
I1 I 0.000 0.000 0.000 1
```

Values from the calculation:
* uncorrected formation energy: -1.919 eV/atom
* SG: C2/m, No. 12

***

Entry 3:
This record from Alexandria via LeMat-Bulk describes a geometry-optimized Zr4CuGe structure. The functional is GGA-PBE.

```
data_Zr4CuGe
_cell_length_a 5.414
_cell_length_b 5.414
_cell_length_c 5.414
_cell_angle_alpha 104.57
_cell_angle_beta 104.57
_cell_angle_gamma 119.79
_symmetry_space_group_name_H-M 'P 1'
_symmetry_Int_Tables_number 1
loop_
_symmetry_equiv_pos_as_xyz
'x,y,z'
loop_
_atom_site_label
_atom_site_type_symbol
_atom_site_fract_x
_atom_site_fract_y
_atom_site_fract_z
_atom_site_occupancy
Zr1 Zr 0.406 0.594 0.500 1
Zr2 Zr 0.594 0.094 0.188 1
Zr3 Zr 0.094 0.906 0.500 1
Zr4 Zr 0.906 0.406 0.812 1
Cu1 Cu 0.000 0.000 0.000 1
Ge1 Ge 0.500 0.500 0.000 1
```

Values from the calculation:
* ΔH_f (0 K): -0.40 eV per atom
* excess energy over the best structure of this formula in the dataset: 0.0 meV/atom
* SG: I422, No. 97

***

Entry 4:
This record from Alexandria via LeMat-Bulk describes a geometry-optimized Sr2Zn2Pb structure. The functional is GGA-PBE.

```
data_Sr2Zn2Pb
_cell_length_a 3.838
_cell_length_b 3.838
_cell_length_c 10.598
_cell_angle_alpha 79.57
_cell_angle_beta 79.57
_cell_angle_gamma 90.00
_symmetry_space_group_name_H-M 'P 1'
_symmetry_Int_Tables_number 1
loop_
_symmetry_equiv_pos_as_xyz
'x,y,z'
loop_
_atom_site_label
_atom_site_type_symbol
_atom_site_fract_x
_atom_site_fract_y
_atom_site_fract_z
_atom_site_occupancy
Zn1 Zn 0.750 0.250 0.500 1
Zn2 Zn 0.250 0.750 0.500 1
Pb1 Pb 0.000 0.000 0.000 1
Sr1 Sr 0.389 0.389 0.222 1
Sr2 Sr 0.611 0.611 0.778 1
```

Values from the calculation:
* ΔH_f (0 K): -0.22 eV per atom
* excess energy over the best structure of this formula in the dataset: 63.9 meV/atom
* SG: I4/mmm, No. 139

***

Entry 5:
This record from Alexandria via LeMat-Bulk describes a geometry-optimized Li2UO4 structure. The functional is GGA-PBE.

```
data_Li2UO4
_cell_length_a 6.107
_cell_length_b 6.107
_cell_length_c 6.107
_cell_angle_alpha 138.18
_cell_angle_beta 138.18
_cell_angle_gamma 60.62
_symmetry_space_group_name_H-M 'P 1'
_symmetry_Int_Tables_number 1
loop_
_symmetry_equiv_pos_as_xyz
'x,y,z'
loop_
_atom_site_label
_atom_site_type_symbol
_atom_site_fract_x
_atom_site_fract_y
_atom_site_fract_z
_atom_site_occupancy
O1 O 0.181 0.181 0.000 1
O2 O 0.500 0.000 0.500 1
O3 O 0.819 0.819 0.000 1
O4 O 0.000 0.500 0.500 1
U1 U 0.000 0.000 0.000 1
Li1 Li 0.358 0.358 0.000 1
Li2 Li 0.642 0.642 0.000 1
```

Values from the calculation:
* excess energy over the best structure of this formula in the dataset: 186.0 meV/atom
* uncorrected formation energy: -2.554 eV/atom
* SG: I4/mmm, No. 139

***

Entry 6:
This record from Alexandria via LeMat-Bulk describes a geometry-optimized Li2Cd7Ni structure. The functional is GGA-PBE.

```
data_Li2Cd7Ni
_cell_length_a 4.615
_cell_length_b 4.615
_cell_length_c 11.313
_cell_angle_alpha 90.00
_cell_angle_beta 90.00
_cell_angle_gamma 120.00
_symmetry_space_group_name_H-M 'P 1'
_symmetry_Int_Tables_number 1
loop_
_symmetry_equiv_pos_as_xyz
'x,y,z'
loop_
_atom_site_label
_atom_site_type_symbol
_atom_site_fract_x
_atom_site_fract_y
_atom_site_fract_z
_atom_site_occupancy
Cd1 Cd 0.333 0.667 0.451 1
Cd2 Cd 0.000 0.000 0.735 1
Cd3 Cd 0.333 0.667 0.990 1
Cd4 Cd 0.667 0.333 0.111 1
Cd5 Cd 0.000 0.000 0.235 1
Cd6 Cd 0.667 0.333 0.589 1
Cd7 Cd 0.667 0.333 0.857 1
Li1 Li 0.667 0.333 0.350 1
Li2 Li 0.333 0.667 0.718 1
Ni1 Ni 0.000 0.000 0.981 1
```

Values from the calculation:
* ΔH_f (0 K): -0.02 eV per atom
* SG: P3m1, No. 156

***

Entry 7:
This record from Alexandria via LeMat-Bulk describes a geometry-optimized AlCrPt3 structure. The functional is GGA-PBE.

```
data_AlCrPt3
_cell_length_a 4.595
_cell_length_b 4.595
_cell_length_c 4.595
_cell_angle_alpha 90.00
_cell_angle_beta 90.00
_cell_angle_gamma 90.00
_symmetry_space_group_name_H-M 'P 1'
_symmetry_Int_Tables_number 1
loop_
_symmetry_equiv_pos_as_xyz
'x,y,z'
loop_
_atom_site_label
_atom_site_type_symbol
_atom_site_fract_x
_atom_site_fract_y
_atom_site_fract_z
_atom_site_occupancy
Pt1 Pt 0.000 0.500 0.000 1
Pt2 Pt 0.000 0.000 0.500 1
Pt3 Pt 0.500 0.000 0.000 1
Cr1 Cr 0.000 0.000 0.000 1
Al1 Al 0.500 0.500 0.500 1
```

Values from the calculation:
* ΔH_f (0 K): 0.80 eV per atom
* excess energy over the best structure of this formula in the dataset: 10.4 meV/atom
* SG: Pm-3m, No. 221

***

Entry 8:
This record from Alexandria via LeMat-Bulk describes a geometry-optimized Dy7Er2Tm4 structure. The functional is GGA-PBE.

```
data_Dy7Er2Tm4
_cell_length_a 6.013
_cell_length_b 6.013
_cell_length_c 13.038
_cell_angle_alpha 90.00
_cell_angle_beta 90.00
_cell_angle_gamma 120.00
_symmetry_space_group_name_H-M 'P 1'
_symmetry_Int_Tables_number 1
loop_
_symmetry_equiv_pos_as_xyz
'x,y,z'
loop_
_atom_site_label
_atom_site_type_symbol
_atom_site_fract_x
_atom_site_fract_y
_atom_site_fract_z
_atom_site_occupancy
Tm1 Tm 0.333 0.667 0.500 1
Tm2 Tm 0.667 0.333 0.500 1
Tm3 Tm 0.000 0.000 0.607 1
Tm4 Tm 0.000 0.000 0.393 1
Er1 Er 0.333 0.667 0.000 1
Er2 Er 0.667 0.333 0.000 1
Dy1 Dy 0.640 0.640 0.782 1
Dy2 Dy 0.360 0.360 0.218 1
Dy3 Dy 0.000 0.000 0.000 1
Dy4 Dy 0.360 0.000 0.782 1
Dy5 Dy 0.000 0.640 0.218 1
Dy6 Dy 0.000 0.360 0.782 1
Dy7 Dy 0.640 0.000 0.218 1
```

Values from the calculation:
* ΔH_f (0 K): 0.18 eV per atom
* SG: P-31m, No. 162

***

Entry 9:
This record from Alexandria via LeMat-Bulk describes a geometry-optimized Ca2LuGa structure. The functional is GGA-PBE.

```
data_Ca2LuGa
_cell_length_a 3.574
_cell_length_b 3.574
_cell_length_c 11.576
_cell_angle_alpha 81.12
_cell_angle_beta 81.12
_cell_angle_gamma 60.00
_symmetry_space_group_name_H-M 'P 1'
_symmetry_Int_Tables_number 1
loop_
_symmetry_equiv_pos_as_xyz
'x,y,z'
loop_
_atom_site_label
_atom_site_type_symbol
_atom_site_fract_x
_atom_site_fract_y
_atom_site_fract_z
_atom_site_occupancy
Ca1 Ca 0.901 0.901 0.298 1
Ca2 Ca 0.099 0.099 0.702 1
Ga1 Ga 0.500 0.500 0.500 1
Lu1 Lu 0.000 0.000 0.000 1
```

Values from the calculation:
* ΔH_f (0 K): 0.08 eV per atom
* SG: R-3m, No. 166

***

Entry 10:
This record from Alexandria via LeMat-Bulk describes a geometry-optimized EuAlTl2 structure. The functional is GGA-PBE.

```
data_EuAlTl2
_cell_length_a 4.714
_cell_length_b 4.733
_cell_length_c 4.733
_cell_angle_alpha 90.00
_cell_angle_beta 90.00
_cell_angle_gamma 90.00
_symmetry_space_group_name_H-M 'P 1'
_symmetry_Int_Tables_number 1
loop_
_symmetry_equiv_pos_as_xyz
'x,y,z'
loop_
_atom_site_label
_atom_site_type_symbol
_atom_site_fract_x
_atom_site_fract_y
_atom_site_fract_z
_atom_site_occupancy
Tl1 Tl 0.000 0.500 0.000 1
Tl2 Tl 0.000 0.000 0.500 1
Eu1 Eu 0.500 0.500 0.500 1
Al1 Al 0.500 0.000 0.000 1
```

Values from the calculation:
* ΔH_f (0 K): -0.17 eV per atom
* SG: P4/mmm, No. 123

***

Entry 11:
This record from Alexandria via LeMat-Bulk describes a geometry-optimized NaDyPaSe4 structure. The functional is GGA-PBE.

```
data_NaDyPaSe4
_cell_length_a 8.633
_cell_length_b 8.523
_cell_length_c 8.464
_cell_angle_alpha 119.77
_cell_angle_beta 90.00
_cell_angle_gamma 120.43
_symmetry_space_group_name_H-M 'P 1'
_symmetry_Int_Tables_number 1
loop_
_symmetry_equiv_pos_as_xyz
'x,y,z'
loop_
_atom_site_label
_atom_site_type_symbol
_atom_site_fract_x
_atom_site_fract_y
_atom_site_fract_z
_atom_site_occupancy
Dy1 Dy 0.500 0.000 0.500 1
Dy2 Dy 0.500 0.000 0.000 1
Pa1 Pa 0.000 0.500 0.500 1
Pa2 Pa 0.500 0.500 0.500 1
Na1 Na 0.118 0.235 0.868 1
Na2 Na 0.882 0.765 0.132 1
Se1 Se 0.739 0.026 0.263 1
Se2 Se 0.287 0.026 0.263 1
Se3 Se 0.260 0.519 0.283 1
Se4 Se 0.740 0.481 0.264 1
Se5 Se 0.713 0.974 0.737 1
Se6 Se 0.260 0.519 0.736 1
Se7 Se 0.740 0.481 0.717 1
Se8 Se 0.261 0.974 0.737 1
```

Values from the calculation:
* uncorrected formation energy: -1.519 eV/atom
* SG: Imma, No. 74

***

Entry 12:
This record from Alexandria via LeMat-Bulk describes a geometry-optimized Cs2HoCu2S4 structure. The functional is GGA-PBE.

```
data_Cs2HoCu2S4
_cell_length_a 3.978
_cell_length_b 8.101
_cell_length_c 7.672
_cell_angle_alpha 106.90
_cell_angle_beta 105.03
_cell_angle_gamma 90.00
_symmetry_space_group_name_H-M 'P 1'
_symmetry_Int_Tables_number 1
loop_
_symmetry_equiv_pos_as_xyz
'x,y,z'
loop_
_atom_site_label
_atom_site_type_symbol
_atom_site_fract_x
_atom_site_fract_y
_atom_site_fract_z
_atom_site_occupancy
S1 S 0.197 0.144 0.393 1
S2 S 0.803 0.856 0.607 1
S3 S 0.477 0.216 0.954 1
S4 S 0.523 0.784 0.046 1
Cs1 Cs 0.136 0.558 0.273 1
Cs2 Cs 0.864 0.442 0.727 1
Ho1 Ho 0.000 0.000 0.000 1
Cu1 Cu 0.678 0.983 0.355 1
Cu2 Cu 0.322 0.017 0.645 1
```

Values from the calculation:
* uncorrected formation energy: -1.119 eV/atom
* SG: C2/m, No. 12

***

The evaluated E_tot for the records listed, in turn: -1.529 -4.429 -7.556 -2.149 -7.547 -1.618 -5.495 -4.373 -2.803 -4.854 -5.713 -4.562 eV per atom.